Compound: YIr2W
Source: Alexandria
Functional: meta-GGA SCAN
Structure: single point on PBEsol structure

a b c (Å): 2.9180 4.6407 5.0181
angles (deg): 90.00 98.78 90.00
Sites, in units of the cell vectors:
Ir 0.9015 0.5000 0.3116
Ir 0.8207 0.0000 0.9412
W 0.4903 0.0000 0.4228
Y 0.2875 0.5000 0.8244

Computed properties:
Its space group is No. 6. As for the formation energy: -0.35 eV/atom.

=====

Compound: ZnIr2W
Source: Alexandria
Functional: meta-GGA SCAN
Structure: single point on PBEsol structure

a b c (Å): 4.3454 4.3454 4.3454
angles (deg): 60.00 60.00 60.00
Sites, in units of the cell vectors:
W 0.0000 0.0000 0.0000
Zn 0.5000 0.5000 0.5000
Ir 0.2500 0.2500 0.2500
Ir 0.7500 0.7500 0.7500

Computed properties:
Its space group is No. 225. As for the formation energy: 0.00 eV/atom.

=====

Compound: ZnIr2W
Source: Alexandria
Functional: meta-GGA SCAN
Structure: single point on PBEsol structure

a b c (Å): 3.6381 3.9720 3.9720
angles (deg): 90.00 90.00 90.00
Sites, in units of the cell vectors:
Ir 0.0000 0.0000 0.5000
Ir 0.0000 0.5000 0.0000
Zn 0.5000 0.0000 0.0000
W 0.5000 0.5000 0.5000

Computed properties:
Its space group is No. 123. As for the formation energy: -0.01 eV/atom.

=====

Compound: Zn2IrW
Source: Alexandria
Functional: meta-GGA SCAN
Structure: single point on PBEsol structure

a b c (Å): 2.7515 4.6152 4.7531
angles (deg): 97.38 90.02 107.33
Sites, in units of the cell vectors:
Zn 0.0005 0.0011 0.0236
Zn 0.7527 0.5055 0.2297
W 0.2469 0.4936 0.7276
Ir 0.4999 0.9998 0.5191

Computed properties:
The value obtained for the energy relative to the lowest polymorph listed for this composition is 0 meV per atom. Its space group is No. 8. As for the formation energy: 0.02 eV/atom.

=====

Compound: ZnIr2W
Source: Alexandria
Functional: meta-GGA SCAN
Structure: single point on PBEsol structure

a b c (Å): 2.7874 3.6661 5.5726
angles (deg): 90.00 90.00 90.00
Sites, in units of the cell vectors:
W 0.5000 0.5000 0.0000
Ir 0.0000 0.0000 0.7482
Ir 0.0000 0.0000 0.2518
Zn 0.5000 0.5000 0.5000

Computed properties:
Its space group is No. 47. As for the formation energy: -0.28 eV/atom.

=====

Compound: ZnIr2W
Source: Alexandria
Functional: meta-GGA SCAN
Structure: single point on PBEsol structure

a b c (Å): 2.8190 2.8190 7.1277
angles (deg): 90.00 90.00 90.00
Sites, in units of the cell vectors:
Ir 0.0000 0.0000 0.2543
Ir 0.0000 0.0000 0.7457
Zn 0.5000 0.5000 0.5000
W 0.5000 0.5000 0.0000

Computed properties:
Its space group is No. 123. As for the formation energy: -0.35 eV/atom.